! TiFePO2, optimized geometry, DFT PBE+U; values from VASP
! M_tot in μB per atom: 0.8125
! ΔE to the lowest computed polymorph in meV/atom: 0
! Mass density in g/cm³: 3.709
&SYSTEM
  ibrav = 0, nat = 5, ntyp = 4
/
ATOMIC_SPECIES
Ti 47.87 Ti.upf
Fe 55.84 Fe.upf
P 30.97 P.upf
O 16.00 O.upf
CELL_PARAMETERS angstrom
3.759 0.000 0.000
0.000 3.759 0.000
0.000 0.000 5.281
ATOMIC_POSITIONS crystal
Ti 0.000 0.000 0.000
Fe 0.500 0.500 0.500
P 0.000 0.000 0.500
O 0.000 0.500 0.000
O 0.500 0.000 0.000